Below is a geometry-optimized Sm2Ge3Pt5 structure, with properties calculated at the GGA-PBE level.

Computed properties:
formation enthalpy at 0 K: -0.8985 eV/atom
theoretical density: 12.9 g/cm3
E above lowest polymorph: 0.000 eV per atom
SG: No. 72
magnetic moment: 0.000 μB per atom
DOS at the Fermi energy: 0.365 states/eV/atom
calculated total energy: -6.2479 eV/atom

Cell lengths 5.805, 8.774, 8.774 Å; angles 69.90, 70.68, 70.68 degrees
Fractional positions:
Sm  0.634  0.097  0.635
Sm  0.866  0.365  0.903
Sm  0.134  0.635  0.097
Sm  0.366  0.903  0.365
Pt  0.250  0.500  0.500
Pt  0.371  0.242  0.016
Pt  0.871  0.016  0.242
Pt  0.629  0.758  0.984
Pt  0.468  0.282  0.282
Pt  0.129  0.984  0.758
Pt  0.750  0.500  0.500
Pt  0.968  0.282  0.282
Pt  0.032  0.718  0.718
Pt  0.532  0.718  0.718
Ge  0.891  0.757  0.460
Ge  0.250  0.000  0.000
Ge  0.109  0.243  0.540
Ge  0.750  0.000  0.000
Ge  0.391  0.460  0.757
Ge  0.609  0.540  0.243